Record 1
First-principles (PBEsol) data for a relaxed ZrMo2Rh crystal, as listed in Alexandria.

Cell and atoms, written as POSCAR:
```
ZrMo2Rh
1.0
-1.9773 -0.7301 1.7892
4.1598 -1.9796 1.6533
0.3715 4.5320 2.2600
Mo Rh Zr
2 1 1
direct
0.9885 0.9771 0.9630 Mo
0.2266 0.4533 0.7777 Mo
0.5159 0.0318 0.4704 Rh
0.7689 0.5379 0.2889 Zr
```

Calculated values
- energy relative to the lowest polymorph listed for this composition (meV/atom) = 177.4
- energy (eV per atom) = -10.1493
- SG = No. 8
- energy relative to the elements (meV per atom) = 42
- DOS(E_F) (states/eV/f.u.) = 2.67
- spin magnetization (μB/f.u.) = 0.00

=====

Record 2
First-principles (PBEsol) data for a relaxed ZrMo2Rh crystal, as listed in Alexandria.

Cell and atoms, written as POSCAR:
```
ZrMo2Rh
1.0
-2.2823 -2.9380 2.5150
2.1850 -3.2573 2.1868
0.3385 0.1364 4.4758
Mo Rh Zr
2 1 1
direct
0.0000 0.0000 0.0000 Mo
0.2500 0.2500 0.2500 Mo
0.5000 0.5000 0.5000 Rh
0.7500 0.7500 0.7500 Zr
```

Calculated values
- energy relative to the lowest polymorph listed for this composition (meV/atom) = 0.0
- energy (eV per atom) = -10.3267
- SG = No. 216
- energy relative to the elements (meV per atom) = -136
- DOS(E_F) (states/eV/f.u.) = 3.63
- spin magnetization (μB/f.u.) = 0.00

=====

Record 3
First-principles (PBEsol) data for a relaxed ZrMoRh2 crystal, as listed in Alexandria.

Cell and atoms, written as POSCAR:
```
ZrMoRh2
1.0
2.8381 0.0000 0.0101
0.0000 4.5108 0.0000
-0.4127 0.0000 4.8637
Mo Rh Zr
1 2 1
direct
0.2921 0.5000 0.8174 Mo
0.8811 0.0000 0.9430 Rh
0.8884 0.5000 0.3010 Rh
0.4383 0.0000 0.4386 Zr
```

Calculated values
- energy relative to the lowest polymorph listed for this composition (meV/atom) = 7.6
- energy (eV per atom) = -9.6299
- SG = No. 6
- energy relative to the elements (meV per atom) = -346
- DOS(E_F) (states/eV/f.u.) = 4.06
- spin magnetization (μB/f.u.) = 0.00

=====

Record 4
First-principles (PBEsol) data for a relaxed ZrMo2Rh crystal, as listed in Alexandria.

Cell and atoms, written as POSCAR:
```
ZrMo2Rh
1.0
-2.2577 -1.6098 -0.2933
2.1222 -1.2145 -1.3401
2.1216 -4.2970 7.2538
Mo Rh Zr
2 1 1
direct
0.0000 0.0000 0.9851 Mo
0.5000 0.5000 0.7457 Mo
0.0000 0.0000 0.5120 Rh
0.5000 0.5000 0.2572 Zr
```

Calculated values
- energy relative to the lowest polymorph listed for this composition (meV/atom) = 98.4
- energy (eV per atom) = -10.2283
- SG = No. 35
- energy relative to the elements (meV per atom) = -37
- DOS(E_F) (states/eV/f.u.) = 4.24
- spin magnetization (μB/f.u.) = 0.00

=====

Record 5
First-principles (PBEsol) data for a relaxed Mo17Ru12 crystal, as listed in Alexandria.

Cell and atoms, written as POSCAR:
```
Mo17Ru12
1.0
8.2162 0.0000 0.0000
-2.7387 7.7463 0.0000
-2.7387 -3.8732 6.7085
Mo Ru
17 12
direct
0.7096 0.3925 0.3925 Mo
0.2904 0.6829 0.6829 Mo
0.0000 0.3171 0.6075 Mo
0.0000 0.6075 0.3171 Mo
0.3925 0.7096 0.3925 Mo
0.6829 0.2904 0.6829 Mo
0.6075 0.0000 0.3171 Mo
0.3171 0.0000 0.6075 Mo
0.3925 0.3925 0.7096 Mo
0.6829 0.6829 0.2904 Mo
0.3171 0.6075 0.0000 Mo
0.6075 0.3171 0.0000 Mo
0.6478 0.6478 0.6478 Mo
0.3522 0.0000 0.0000 Mo
0.0000 0.0000 0.3522 Mo
0.0000 0.3522 0.0000 Mo
0.0000 0.0000 0.0000 Mo
0.1821 0.3727 0.3727 Ru
0.8179 0.1906 0.1906 Ru
0.0000 0.8094 0.6273 Ru
0.0000 0.6273 0.8094 Ru
0.3727 0.1821 0.3727 Ru
0.1906 0.8179 0.1906 Ru
0.6273 0.0000 0.8094 Ru
0.8094 0.0000 0.6273 Ru
0.3727 0.3727 0.1821 Ru
0.1906 0.1906 0.8179 Ru
0.8094 0.6273 0.0000 Ru
0.6273 0.8094 0.0000 Ru
```

Calculated values
- energy (eV per atom) = -11.0343
- SG = No. 217
- energy relative to the elements (meV per atom) = 73
- DOS(E_F) (states/eV/f.u.) = 25.84
- spin magnetization (μB/f.u.) = 0.00

=====

Record 6
First-principles (PBEsol) data for a relaxed Mo8Ru7 crystal, as listed in Alexandria.

Cell and atoms, written as POSCAR:
```
Mo8Ru7
1.0
-2.2365 4.3321 -0.2400
-6.0554 -3.4792 -6.3702
-5.8246 -2.6209 6.9682
Mo Ru
16 14
direct
0.2501 0.3221 0.3221 Mo
0.2501 0.6779 0.6779 Mo
0.7501 0.1779 0.8221 Mo
0.7501 0.8221 0.1779 Mo
0.2499 0.1779 0.8221 Mo
0.2499 0.8221 0.1779 Mo
0.7499 0.3221 0.3221 Mo
0.7499 0.6779 0.6779 Mo
0.0000 0.1334 0.5393 Mo
0.0000 0.8666 0.4607 Mo
0.5000 0.9607 0.6334 Mo
0.5000 0.0393 0.3666 Mo
0.5000 0.3666 0.0393 Mo
0.5000 0.6334 0.9607 Mo
0.0000 0.5393 0.1334 Mo
0.0000 0.4607 0.8666 Mo
0.0000 0.4029 0.5971 Ru
0.0000 0.5971 0.4029 Ru
0.5000 0.9029 0.9029 Ru
0.5000 0.0971 0.0971 Ru
0.0000 0.0000 0.0000 Ru
0.5000 0.5000 0.5000 Ru
0.0000 0.0711 0.2642 Ru
0.0000 0.9289 0.7358 Ru
0.5000 0.2358 0.5711 Ru
0.5000 0.7642 0.4289 Ru
0.5000 0.4289 0.7642 Ru
0.5000 0.5711 0.2358 Ru
0.0000 0.2642 0.0711 Ru
0.0000 0.7358 0.9289 Ru
```

Calculated values
- energy (eV per atom) = -10.9619
- SG = No. 136
- energy relative to the elements (meV per atom) = 61
- DOS(E_F) (states/eV/f.u.) = 11.98
- spin magnetization (μB/f.u.) = 0.00

=====

Record 7
First-principles (PBEsol) data for a relaxed MoRuS2 crystal, as listed in Alexandria.

Cell and atoms, written as POSCAR:
```
MoRuS2
1.0
-2.7088 2.0916 2.3903
-4.0621 0.0042 -0.9619
-2.7136 -2.0828 2.3925
Ru Mo S
1 1 2
direct
0.5000 0.5000 0.5000 Ru
0.0000 0.0000 0.0000 Mo
0.2500 0.2500 0.2500 S
0.7500 0.7500 0.7500 S
```

Calculated values
- energy (eV per atom) = -7.8619
- SG = No. 225
- DOS(E_F) (states/eV/f.u.) = 2.22
- formation energy (no corrections) (eV per atom) = -0.185
- spin magnetization (μB/f.u.) = 0.00

=====

Record 8
First-principles (PBEsol) data for a relaxed MoRu3S crystal, as listed in Alexandria.

Cell and atoms, written as POSCAR:
```
MoRu3S
1.0
-1.0408 3.5537 -2.0874
0.0373 -2.1447 -3.6699
-4.1212 -0.9169 0.4940
Ru Mo S
3 1 1
direct
0.0000 0.5000 0.0000 Ru
0.0000 0.0000 0.5000 Ru
0.5000 0.0000 0.0000 Ru
0.5000 0.5000 0.5000 Mo
0.0000 0.0000 0.0000 S
```

Calculated values
- energy (eV per atom) = -8.5623
- SG = No. 221
- DOS(E_F) (states/eV/f.u.) = 5.60
- formation energy (no corrections) (eV per atom) = 0.772
- spin magnetization (μB/f.u.) = 2.63

=====

Record 9
First-principles (PBEsol) data for a relaxed SbMoRu2 crystal, as listed in Alexandria.

Cell and atoms, written as POSCAR:
```
SbMoRu2
1.0
-2.3638 -0.4858 1.6951
-2.0504 -1.1994 -3.2030
1.6186 -4.9820 0.8294
Mo Ru Sb
1 2 1
direct
0.5000 0.5000 0.7804 Mo
0.0000 0.0000 0.9713 Ru
0.5000 0.5000 0.2730 Ru
0.0000 0.0000 0.4753 Sb
```

Calculated values
- energy (eV per atom) = -8.9320
- SG = No. 25
- DOS(E_F) (states/eV/f.u.) = 3.52
- formation energy (no corrections) (eV per atom) = 0.236
- spin magnetization (μB/f.u.) = 0.00

=====

Record 10
First-principles (PBEsol) data for a relaxed SbMoRu2 crystal, as listed in Alexandria.

Cell and atoms, written as POSCAR:
```
SbMoRu2
1.0
3.1333 0.0000 0.0000
0.0000 4.4912 0.0000
-1.5667 -2.2456 4.3542
Mo Ru Sb
1 2 1
direct
0.0000 0.5000 0.0000 Mo
0.7620 0.7620 0.5240 Ru
0.2380 0.2380 0.4760 Ru
0.5000 0.0000 0.0000 Sb
```

Calculated values
- energy (eV per atom) = -8.9288
- SG = No. 71
- DOS(E_F) (states/eV/f.u.) = 4.28
- formation energy (no corrections) (eV per atom) = 0.239
- spin magnetization (μB/f.u.) = 0.00

=====

Record 11
First-principles (PBEsol) data for a relaxed SbMo2Ru crystal, as listed in Alexandria.

Cell and atoms, written as POSCAR:
```
SbMo2Ru
1.0
3.7967 0.0000 0.0000
0.0000 3.7967 0.0000
-1.8984 -1.8984 4.3590
Mo Ru Sb
2 1 1
direct
0.7500 0.2500 0.5000 Mo
0.2500 0.7500 0.5000 Mo
0.0000 0.0000 0.0000 Ru
0.5000 0.5000 0.0000 Sb
```

Calculated values
- energy (eV per atom) = -9.4642
- SG = No. 139
- DOS(E_F) (states/eV/f.u.) = 2.45
- formation energy (no corrections) (eV per atom) = 0.102
- spin magnetization (μB/f.u.) = 0.00

=====

Record 12
First-principles (PBEsol) data for a relaxed SbMo2Ru crystal, as listed in Alexandria.

Cell and atoms, written as POSCAR:
```
SbMo2Ru
1.0
3.0023 0.0000 0.0000
0.0000 4.6125 0.0000
0.0000 0.0000 4.6125
Mo Ru Sb
2 1 1
direct
0.0000 0.0000 0.5000 Mo
0.0000 0.5000 0.0000 Mo
0.5000 0.5000 0.5000 Ru
0.5000 0.0000 0.0000 Sb
```

Calculated values
- energy (eV per atom) = -9.1826
- SG = No. 123
- DOS(E_F) (states/eV/f.u.) = 4.86
- formation energy (no corrections) (eV per atom) = 0.384
- spin magnetization (μB/f.u.) = 0.00

=====

Record 13
First-principles (PBEsol) data for a relaxed SbMoRu2 crystal, as listed in Alexandria.

Cell and atoms, written as POSCAR:
```
SbMoRu2
1.0
-1.9951 1.1553 1.7952
-1.9726 -3.7194 -2.1765
2.0356 -2.2356 3.7009
Mo Ru Sb
1 2 1
direct
0.5000 0.0000 0.0000 Mo
0.7578 0.5156 0.7716 Ru
0.2422 0.4844 0.2284 Ru
0.0000 0.0000 0.5000 Sb
```

Calculated values
- energy (eV per atom) = -8.9518
- SG = No. 12
- DOS(E_F) (states/eV/f.u.) = 4.39
- formation energy (no corrections) (eV per atom) = 0.216
- spin magnetization (μB/f.u.) = 0.00

=====

Record 14
First-principles (PBEsol) data for a relaxed TaSbMo2Ru crystal, as listed in Alexandria.

Cell and atoms, written as POSCAR:
```
TaSbMo2Ru
1.0
4.6613 0.0000 0.0000
0.0000 4.6613 0.0000
0.0000 0.0000 4.7202
Sb Mo Ru Ta
1 2 1 1
direct
0.5000 0.5000 0.5000 Sb
0.0000 0.5000 0.0000 Mo
0.5000 0.0000 0.0000 Mo
0.0000 0.0000 0.0000 Ru
0.0000 0.0000 0.5000 Ta
```

Calculated values
- energy (eV per atom) = -8.8559
- SG = No. 123
- DOS(E_F) (states/eV/f.u.) = 6.01
- formation energy (no corrections) (eV per atom) = 1.307
- spin magnetization (μB/f.u.) = 0.00